Arrangement A

An optimized crystal structure of MgTa3. Source: Alexandria via LeMat-Bulk, functional PBE-GGA.

Computed properties:
DOS(E_F): 8.973 states/eV per cell

Cell: 4.8046 4.8046 4.8046 Å, 90.00 90.00 90.00°
Last column: nearest neighbours and their distance in Å.
Sites, in units of the cell vectors:
1 Mg 0.0000 0.0000 0.0000  6 Ta 2.40
2 Ta 0.0000 0.0000 0.5000  2 Mg 2.40
3 Ta 0.0000 0.5000 0.0000  2 Mg 2.40
4 Ta 0.5000 0.0000 0.0000  2 Mg 2.40

---

Arrangement B

An optimized crystal structure of MgTa3. Source: Alexandria via LeMat-Bulk, functional PBE-GGA.

Computed properties:
DOS(E_F): 3.701 states/eV per cell

Cell: 4.4253 4.4253 3.7509 Å, 90.00 90.00 90.00°
Last column: nearest neighbours and their distance in Å.
Sites, in units of the cell vectors:
1 Mg 0.0000 0.0000 0.0000  12 Ta 2.90-3.13
2 Ta 0.0000 0.5000 0.5000  8 Ta 2.90-3.13, 4 Mg 2.90
3 Ta 0.5000 0.0000 0.5000  8 Ta 2.90-3.13, 4 Mg 2.90
4 Ta 0.5000 0.5000 0.0000  8 Ta 2.90, 4 Mg 3.13

---

Relative energies with respect to the most stable structure, expressed in kJ/mol of atoms: arrangement A 276.6; arrangement B 0.0.